[1]
First-principles (PBE) data for PrMg2Au2 after structural relaxation, as listed in Alexandria via LeMat-Bulk.

Output
ρ = 8.461 g cm⁻³
energy relative to the elements = -0.634 eV per atom
size of the total moment = 0.000 μB per atom
ΔE to the lowest computed polymorph = 0.000 eV per atom
DOS(E_F) = 3.24 states/eV per cell

```
data_PrMg2Au2
_cell_length_a 4.201
_cell_length_b 4.201
_cell_length_c 7.136
_cell_angle_alpha 107.12
_cell_angle_beta 107.12
_cell_angle_gamma 90.00
_symmetry_space_group_name_H-M 'P 1'
_symmetry_Int_Tables_number 1
_symmetry_space_group_name_Hall 'P 1'
loop_
_atom_site_label
_atom_site_type_symbol
_atom_site_fract_x
_atom_site_fract_y
_atom_site_fract_z
_atom_site_occupancy
Pr1 Pr 0.000 0.000 0.000 1
Mg1 Mg 0.750 0.250 0.500 1
Mg2 Mg 0.250 0.750 0.500 1
Au1 Au 0.610 0.610 0.219 1
Au2 Au 0.390 0.390 0.781 1
```

---

[2]
First-principles (PBE) data for Pm4MgGe4 after structural relaxation, as listed in Alexandria via LeMat-Bulk.

Output
ρ = 5.541 g cm⁻³
energy relative to the elements = -0.311 eV per atom
size of the total moment = 0.000 μB per atom
DOS(E_F) = 8.77 states/eV per cell

```
data_Pm4MgGe4
_cell_length_a 7.420
_cell_length_b 7.420
_cell_length_c 7.159
_cell_angle_alpha 121.21
_cell_angle_beta 121.21
_cell_angle_gamma 90.00
_symmetry_space_group_name_H-M 'P 1'
_symmetry_Int_Tables_number 1
_symmetry_space_group_name_Hall 'P 1'
loop_
_atom_site_label
_atom_site_type_symbol
_atom_site_fract_x
_atom_site_fract_y
_atom_site_fract_z
_atom_site_occupancy
Pm1 Pm 0.500 0.000 0.000 1
Pm2 Pm 0.000 0.500 0.000 1
Pm3 Pm 0.318 0.318 0.636 1
Pm4 Pm 0.682 0.682 0.364 1
Mg1 Mg 0.000 0.000 0.000 1
Ge1 Ge 0.633 0.633 0.721 1
Ge2 Ge 0.367 0.912 0.279 1
Ge3 Ge 0.088 0.088 0.721 1
Ge4 Ge 0.912 0.367 0.279 1
```

---

[3]
First-principles (PBE) data for Na12Ag3H5 after structural relaxation, as listed in Alexandria via LeMat-Bulk.

Output
ρ = 2.143 g cm⁻³
total DFT energy (no corrections) = -2.016 eV/atom
size of the total moment = 0.000 μB per atom
DOS(E_F) = 39.88 states/eV per cell

```
data_Na12Ag3H5
_cell_length_a 13.451
_cell_length_b 13.451
_cell_length_c 13.451
_cell_angle_alpha 109.47
_cell_angle_beta 109.47
_cell_angle_gamma 109.47
_symmetry_space_group_name_H-M 'P 1'
_symmetry_Int_Tables_number 1
_symmetry_space_group_name_Hall 'P 1'
loop_
_atom_site_label
_atom_site_type_symbol
_atom_site_fract_x
_atom_site_fract_y
_atom_site_fract_z
_atom_site_occupancy
Ag1 Ag 0.750 0.375 0.125 1
Ag2 Ag 0.875 0.750 0.125 1
Ag3 Ag 0.375 0.750 0.625 1
Ag4 Ag 0.250 0.125 0.375 1
Ag5 Ag 0.875 0.125 0.250 1
Ag6 Ag 0.375 0.625 0.250 1
Ag7 Ag 0.625 0.375 0.750 1
Ag8 Ag 0.125 0.875 0.750 1
Ag9 Ag 0.750 0.875 0.625 1
Ag10 Ag 0.625 0.250 0.375 1
Ag11 Ag 0.125 0.250 0.875 1
Ag12 Ag 0.250 0.625 0.875 1
H1 H 0.125 0.375 0.250 1
H2 H 0.000 0.500 0.000 1
H3 H 0.000 0.000 0.000 1
H4 H 0.375 0.250 0.125 1
H5 H 0.500 0.000 0.500 1
H6 H 0.500 0.500 0.000 1
H7 H 0.125 0.750 0.375 1
H8 H 0.750 0.125 0.875 1
H9 H 0.750 0.625 0.375 1
H10 H 0.375 0.125 0.750 1
H11 H 0.625 0.875 0.250 1
H12 H 0.500 0.500 0.500 1
H13 H 0.500 0.000 0.000 1
H14 H 0.000 0.000 0.500 1
H15 H 0.250 0.375 0.625 1
H16 H 0.250 0.875 0.125 1
H17 H 0.000 0.500 0.500 1
H18 H 0.875 0.250 0.625 1
H19 H 0.625 0.750 0.875 1
H20 H 0.875 0.625 0.750 1
Na1 Na 0.702 0.116 0.018 1
Na2 Na 0.316 0.518 0.402 1
Na3 Na 0.982 0.384 0.298 1
Na4 Na 0.518 0.202 0.116 1
Na5 Na 0.586 0.702 0.684 1
Na6 Na 0.982 0.598 0.184 1
Na7 Na 0.316 0.798 0.414 1
Na8 Na 0.098 0.914 0.116 1
Na9 Na 0.598 0.982 0.684 1
Na10 Na 0.702 0.586 0.184 1
Na11 Na 0.798 0.482 0.384 1
Na12 Na 0.816 0.902 0.018 1
Na13 Na 0.116 0.702 0.518 1
Na14 Na 0.384 0.402 0.086 1
Na15 Na 0.086 0.902 0.384 1
Na16 Na 0.414 0.116 0.598 1
Na17 Na 0.086 0.184 0.202 1
Na18 Na 0.482 0.684 0.098 1
Na19 Na 0.816 0.914 0.298 1
Na20 Na 0.116 0.414 0.098 1
Na21 Na 0.384 0.982 0.798 1
Na22 Na 0.598 0.616 0.414 1
Na23 Na 0.902 0.816 0.518 1
Na24 Na 0.798 0.316 0.914 1
Na25 Na 0.402 0.384 0.586 1
Na26 Na 0.098 0.184 0.482 1
Na27 Na 0.202 0.684 0.086 1
Na28 Na 0.184 0.086 0.702 1
Na29 Na 0.616 0.018 0.202 1
Na30 Na 0.884 0.586 0.902 1
Na31 Na 0.518 0.316 0.902 1
Na32 Na 0.586 0.884 0.402 1
Na33 Na 0.914 0.816 0.798 1
Na34 Na 0.914 0.098 0.616 1
Na35 Na 0.884 0.298 0.482 1
Na36 Na 0.184 0.098 0.982 1
Na37 Na 0.616 0.598 0.914 1
Na38 Na 0.402 0.018 0.316 1
Na39 Na 0.298 0.414 0.816 1
Na40 Na 0.202 0.518 0.616 1
Na41 Na 0.902 0.086 0.884 1
Na42 Na 0.684 0.202 0.586 1
Na43 Na 0.482 0.798 0.884 1
Na44 Na 0.018 0.402 0.816 1
Na45 Na 0.414 0.298 0.316 1
Na46 Na 0.018 0.616 0.702 1
Na47 Na 0.684 0.482 0.598 1
Na48 Na 0.298 0.884 0.982 1
```

---

[4]
First-principles (PBE) data for ThZr2Ni after structural relaxation, as listed in Alexandria via LeMat-Bulk.

Output
ρ = 8.460 g cm⁻³
energy relative to the elements = 0.052 eV per atom
size of the total moment = 0.000 μB per atom
ΔE to the lowest computed polymorph = 0.220 eV per atom
DOS(E_F) = 5.27 states/eV per cell

```
data_ThZr2Ni
_cell_length_a 3.468
_cell_length_b 3.468
_cell_length_c 9.139
_cell_angle_alpha 79.06
_cell_angle_beta 79.06
_cell_angle_gamma 60.00
_symmetry_space_group_name_H-M 'P 1'
_symmetry_Int_Tables_number 1
_symmetry_space_group_name_Hall 'P 1'
loop_
_atom_site_label
_atom_site_type_symbol
_atom_site_fract_x
_atom_site_fract_y
_atom_site_fract_z
_atom_site_occupancy
Th1 Th 0.501 0.501 0.498 1
Zr1 Zr 0.062 0.062 0.814 1
Zr2 Zr 0.271 0.271 0.187 1
Ni1 Ni 0.666 0.666 0.001 1
```

---

[5]
First-principles (PBE) data for Rb3HgBi after structural relaxation, as listed in Alexandria via LeMat-Bulk.

Output
ρ = 3.630 g cm⁻³
energy relative to the elements = -0.233 eV per atom
size of the total moment = 0.000 μB per atom
ΔE to the lowest computed polymorph = 0.078 eV per atom

```
data_Rb3HgBi
_cell_length_a 9.341
_cell_length_b 9.341
_cell_length_c 9.341
_cell_angle_alpha 102.63
_cell_angle_beta 105.90
_cell_angle_gamma 120.49
_symmetry_space_group_name_H-M 'P 1'
_symmetry_Int_Tables_number 1
_symmetry_space_group_name_Hall 'P 1'
loop_
_atom_site_label
_atom_site_type_symbol
_atom_site_fract_x
_atom_site_fract_y
_atom_site_fract_z
_atom_site_occupancy
Rb1 Rb 0.861 0.119 0.625 1
Rb2 Rb 0.861 0.736 0.242 1
Rb3 Rb 0.494 0.619 0.758 1
Rb4 Rb 0.931 0.288 0.143 1
Rb5 Rb 0.494 0.236 0.375 1
Rb6 Rb 0.145 0.788 0.857 1
Hg1 Hg 0.303 0.122 0.681 1
Hg2 Hg 0.440 0.622 0.319 1
Bi1 Bi 0.566 0.893 0.172 1
Bi2 Bi 0.721 0.393 0.828 1
```

---

[6]
First-principles (PBE) data for La2TiSb after structural relaxation, as listed in Alexandria via LeMat-Bulk.

Output
ρ = 6.349 g cm⁻³
size of the total moment = 0.807 μB per atom
formation energy (no corrections) = -0.23 eV per atom
ΔE to the lowest computed polymorph = 0.000 eV per atom
DOS(E_F) = 3.38 states/eV per cell

```
data_La2TiSb
_cell_length_a 5.490
_cell_length_b 5.490
_cell_length_c 5.490
_cell_angle_alpha 60.00
_cell_angle_beta 60.00
_cell_angle_gamma 60.00
_symmetry_space_group_name_H-M 'P 1'
_symmetry_Int_Tables_number 1
_symmetry_space_group_name_Hall 'P 1'
loop_
_atom_site_label
_atom_site_type_symbol
_atom_site_fract_x
_atom_site_fract_y
_atom_site_fract_z
_atom_site_occupancy
Sb1 Sb 0.500 0.500 0.500 1
Ti1 Ti 0.000 0.000 0.000 1
La1 La 0.250 0.250 0.250 1
La2 La 0.750 0.750 0.750 1
```

---

[7]
First-principles (PBE) data for TaIn2P after structural relaxation, as listed in Alexandria via LeMat-Bulk.

Output
ρ = 9.391 g cm⁻³
energy relative to the elements = 0.379 eV per atom
size of the total moment = 0.000 μB per atom
DOS(E_F) = 3.82 states/eV per cell

```
data_TaIn2P
_cell_length_a 5.253
_cell_length_b 5.253
_cell_length_c 3.139
_cell_angle_alpha 90.00
_cell_angle_beta 90.00
_cell_angle_gamma 115.63
_symmetry_space_group_name_H-M 'P 1'
_symmetry_Int_Tables_number 1
_symmetry_space_group_name_Hall 'P 1'
loop_
_atom_site_label
_atom_site_type_symbol
_atom_site_fract_x
_atom_site_fract_y
_atom_site_fract_z
_atom_site_occupancy
In1 In 0.000 0.000 0.000 1
In2 In 0.500 0.500 0.000 1
P1 P 0.500 0.000 0.500 1
Ta1 Ta 0.000 0.500 0.500 1
```

---

[8]
First-principles (PBE) data for Tm12TlCu5 after structural relaxation, as listed in Alexandria via LeMat-Bulk.

Output
ρ = 9.587 g cm⁻³
energy relative to the elements = -0.209 eV per atom
size of the total moment = 0.000 μB per atom
DOS(E_F) = 16.40 states/eV per cell

```
data_Tm12TlCu5
_cell_length_a 8.315
_cell_length_b 8.315
_cell_length_c 8.315
_cell_angle_alpha 106.45
_cell_angle_beta 111.60
_cell_angle_gamma 110.41
_symmetry_space_group_name_H-M 'P 1'
_symmetry_Int_Tables_number 1
_symmetry_space_group_name_Hall 'P 1'
loop_
_atom_site_label
_atom_site_type_symbol
_atom_site_fract_x
_atom_site_fract_y
_atom_site_fract_z
_atom_site_occupancy
Tm1 Tm 0.541 0.820 0.721 1
Tm2 Tm 0.459 0.180 0.279 1
Tm3 Tm 0.901 0.180 0.721 1
Tm4 Tm 0.099 0.820 0.279 1
Tm5 Tm 0.699 0.679 0.378 1
Tm6 Tm 0.301 0.321 0.622 1
Tm7 Tm 0.301 0.679 0.980 1
Tm8 Tm 0.699 0.321 0.020 1
Tm9 Tm 0.808 0.578 0.770 1
Tm10 Tm 0.192 0.422 0.230 1
Tm11 Tm 0.192 0.962 0.770 1
Tm12 Tm 0.808 0.038 0.230 1
Tl1 Tl 0.000 0.500 0.500 1
Cu1 Cu 0.643 0.643 0.000 1
Cu2 Cu 0.357 0.357 0.000 1
Cu3 Cu 0.500 0.122 0.622 1
Cu4 Cu 0.500 0.878 0.378 1
Cu5 Cu 0.000 0.000 0.000 1
```

---

[9]
First-principles (PBE) data for KAs2Pt after structural relaxation, as listed in Alexandria via LeMat-Bulk.

Output
ρ = 7.646 g cm⁻³
energy relative to the elements = 0.378 eV per atom
size of the total moment = 0.000 μB per atom
ΔE to the lowest computed polymorph = 0.823 eV per atom
DOS(E_F) = 2.26 states/eV per cell

```
data_KAs2Pt
_cell_length_a 4.904
_cell_length_b 4.904
_cell_length_c 4.904
_cell_angle_alpha 60.00
_cell_angle_beta 60.00
_cell_angle_gamma 60.00
_symmetry_space_group_name_H-M 'P 1'
_symmetry_Int_Tables_number 1
_symmetry_space_group_name_Hall 'P 1'
loop_
_atom_site_label
_atom_site_type_symbol
_atom_site_fract_x
_atom_site_fract_y
_atom_site_fract_z
_atom_site_occupancy
As1 As 0.000 0.000 0.000 1
As2 As 0.250 0.250 0.250 1
K1 K 0.500 0.500 0.500 1
Pt1 Pt 0.750 0.750 0.750 1
```

---

[10]
First-principles (PBE) data for MnTlP after structural relaxation, as listed in Alexandria via LeMat-Bulk.

Output
ρ = 8.023 g cm⁻³
energy relative to the elements = 0.153 eV per atom
size of the total moment = 0.949 μB per atom
ΔE to the lowest computed polymorph = 0.080 eV per atom
DOS(E_F) = 1.90 states/eV per cell

```
data_MnTlP
_cell_length_a 3.472
_cell_length_b 3.472
_cell_length_c 5.755
_cell_angle_alpha 90.00
_cell_angle_beta 90.00
_cell_angle_gamma 120.00
_symmetry_space_group_name_H-M 'P 1'
_symmetry_Int_Tables_number 1
_symmetry_space_group_name_Hall 'P 1'
loop_
_atom_site_label
_atom_site_type_symbol
_atom_site_fract_x
_atom_site_fract_y
_atom_site_fract_z
_atom_site_occupancy
Mn1 Mn 0.000 0.000 0.065 1
Tl1 Tl 0.333 0.667 0.681 1
P1 P 0.667 0.333 0.254 1
```

---

The highest ρ belongs to which entry?
Tm12TlCu5

---

What is the formula in the fourth record?
ThZr2Ni

---

Copy entry 4 word for word.
First-principles (PBE) data for ThZr2Ni after structural relaxation, as listed in Alexandria via LeMat-Bulk.

Output
ρ = 8.460 g cm⁻³
energy relative to the elements = 0.052 eV per atom
size of the total moment = 0.000 μB per atom
ΔE to the lowest computed polymorph = 0.220 eV per atom
DOS(E_F) = 5.27 states/eV per cell

```
data_ThZr2Ni
_cell_length_a 3.468
_cell_length_b 3.468
_cell_length_c 9.139
_cell_angle_alpha 79.06
_cell_angle_beta 79.06
_cell_angle_gamma 60.00
_symmetry_space_group_name_H-M 'P 1'
_symmetry_Int_Tables_number 1
_symmetry_space_group_name_Hall 'P 1'
loop_
_atom_site_label
_atom_site_type_symbol
_atom_site_fract_x
_atom_site_fract_y
_atom_site_fract_z
_atom_site_occupancy
Th1 Th 0.501 0.501 0.498 1
Zr1 Zr 0.062 0.062 0.814 1
Zr2 Zr 0.271 0.271 0.187 1
Ni1 Ni 0.666 0.666 0.001 1
```